1.
HoPaN | PBE | optimized geometry Values from VASP.

**SG**: No. 216
**Offset from the most stable computed form**: 678 meV per atom

```
&SYSTEM
  ibrav = 0, nat = 3, ntyp = 3
/
ATOMIC_SPECIES
Pa 231.04 Pa.upf
Ho 164.93 Ho.upf
N 14.01 N.upf
CELL_PARAMETERS angstrom
-0.704 -1.300 -4.009
2.032 -3.439 -1.519
-2.163 -3.613 -0.726
ATOMIC_POSITIONS angstrom
Pa 0.000 0.000 0.000
Ho -0.418 -4.176 -3.127
N -0.209 -2.088 -1.564
```


2.
Ho5Pa3N8 | PBE | optimized geometry Values from VASP.

**SG**: No. 166

```
&SYSTEM
  ibrav = 0, nat = 16, ntyp = 3
/
ATOMIC_SPECIES
Ho 164.93 Ho.upf
Pa 231.04 Pa.upf
N 14.01 N.upf
CELL_PARAMETERS angstrom
6.022 0.000 3.449
2.023 5.672 3.449
0.024 0.017 6.939
ATOMIC_POSITIONS angstrom
Ho 3.011 0.000 1.725
Ho 4.022 2.836 3.449
Ho 0.000 0.000 0.000
Ho 1.011 2.836 1.725
Ho 4.034 2.844 6.919
Pa 3.023 0.008 5.194
Pa 0.012 0.008 3.470
Pa 1.023 2.844 5.194
N 2.026 1.429 6.865
N 3.058 4.320 8.624
N 5.097 1.429 8.624
N 6.063 4.275 10.358
N 6.042 4.260 6.973
N 5.011 1.368 5.214
N 2.972 4.260 5.214
N 2.005 1.414 3.480
```


3.
HoPa2N | PBE | optimized geometry Values from VASP.

**SG**: No. 166

```
&SYSTEM
  ibrav = 0, nat = 4, ntyp = 3
/
ATOMIC_SPECIES
Pa 231.04 Pa.upf
Ho 164.93 Ho.upf
N 14.01 N.upf
CELL_PARAMETERS angstrom
-2.557 1.200 1.871
-2.270 -2.132 1.334
3.428 -1.063 8.433
ATOMIC_POSITIONS angstrom
Pa -0.794 -0.432 2.259
Pa -0.604 -1.563 9.379
Ho -0.699 -0.998 5.819
N 0.000 0.000 0.000
```


| no. | theoretical density (g cm⁻³) | ΔE_f (raw) (meV/atom) |
| --- | --- | --- |
| 1 | 12.34 | 41 |
| 2 | 11.45 | -1700 |
| 3 | 11.96 | -563 |